{"formula": "LaTb2Pr5Nd", "functional": "PBE", "state": "optimized geometry", "rho_g_cm3": 6.72, "final_energy_ev_per_atom": -4.4992, "formation_energy_ev_per_atom": 0.26, "lattice_angstrom": [[-6.1306, -2.3282, -6.1752], [2.2820, -8.6564, 0.9981], [-3.5446, 4.7106, 8.3126]], "species": ["Pr", "Pr", "Pr", "Pr", "Pr", "Pr", "Pr", "Pr", "Pr", "Pr", "Tb", "Tb", "Tb", "Tb", "Nd", "Nd", "La", "La"], "fractional_positions": [[0.1665, 0.0648, 0.7313], [0.4352, 0.3335, 0.2687], [0.5000, 0.5000, 0.0000], [0.0648, 0.5648, 0.7313], [0.9352, 0.4352, 0.2687], [0.3335, 0.8335, 0.2687], [0.5648, 0.6665, 0.7313], [0.8335, 0.9352, 0.2687], [0.0000, 0.0000, 0.0000], [0.6665, 0.1665, 0.7313], [0.1171, 0.3829, 0.0000], [0.8829, 0.6171, 0.0000], [0.3829, 0.8829, 0.0000], [0.6171, 0.1171, 0.0000], [0.7500, 0.2500, 0.5000], [0.2500, 0.7500, 0.5000], [0.7500, 0.7500, 0.5000], [0.2500, 0.2500, 0.5000]]}